# BaLa4TiCr4O15

BaLa4TiCr4O15 after structural relaxation (PBE with a Hubbard U, Alexandria via LeMat-Bulk).

```
data_BaLa4TiCr4O15
_cell_length_a 3.9470
_cell_length_b 5.6089
_cell_length_c 14.1915
_cell_angle_alpha 78.60
_cell_angle_beta 90.00
_cell_angle_gamma 90.00
_space_group_name_H-M_alt 'P 1'
_space_group_IT_number 1
loop_
_space_group_symop_operation_xyz
'x,y,z'
loop_
_atom_site_label
_atom_site_type_symbol
_atom_site_fract_x
_atom_site_fract_y
_atom_site_fract_z
Ba1 Ba 0.5000 0.5000 0.0000
La1 La 0.5000 0.8964 0.2075
La2 La 0.5000 0.1037 0.7925
La3 La 0.5000 0.3013 0.3973
La4 La 0.5000 0.6987 0.6027
Ti1 Ti 0.0000 0.0000 0.0000
Cr1 Cr 0.0000 0.6002 0.7995
Cr2 Cr 0.0000 0.7994 0.4011
Cr3 Cr 0.0000 0.3998 0.2005
Cr4 Cr 0.0000 0.2006 0.5989
O1 O 0.5000 0.0000 0.0000
O2 O 0.0000 0.5000 0.5000
O3 O 0.0000 0.0000 0.5000
O4 O 0.5000 0.6064 0.7876
O5 O 0.5000 0.3936 0.2124
O6 O 0.5000 0.8022 0.3957
O7 O 0.5000 0.1978 0.6043
O8 O 0.0000 0.2885 0.8961
O9 O 0.0000 0.7115 0.1039
O10 O 0.0000 0.8155 0.8961
O11 O 0.0000 0.1845 0.1039
O12 O 0.0000 0.9008 0.6991
O13 O 0.0000 0.0992 0.3009
O14 O 0.0000 0.4002 0.6991
O15 O 0.0000 0.5999 0.3009
```

As for the space group: Cmmm, No. 65. The calculated volume comes out at 308.0 Å³/cell. As for the density of states at the Fermi level: 0.00 states/eV/cell. The raw total energy is -8.14 eV per atom.